{
  "formula": "NdHoPtAu",
  "functional": "PBE",
  "state": "relaxed",
  "de_polymorph_ev_per_fu": 0.00,
  "formation_enthalpy_0k_ev_per_atom": -1.022,
  "magnetic_moment_mub_per_cell": 0.0,
  "n_ef_per_ev_fu": 2.4,
  "total_energy_ev_per_atom": -5.688,
  "lattice": [[4.6574, 0.0000, 0.0000], [0.0000, 1.9204, 5.4095], [0.0000, -1.9204, 5.4095]],
  "species": ["Nd", "Ho", "Pt", "Au"],
  "frac_coords": [[0.0000, 0.0000, 0.0000], [0.5000, 0.7243, 0.7243], [0.0000, 0.2711, 0.2711], [0.5000, 0.4454, 0.4454]]
}